(1)
# La3TeAuBr (PBE-GGA, relaxed)
data_La3TeAuBr
_chemical_formula_sum 'La6 Te2 Au2 Br2'
_cell_length_a 7.789
_cell_length_b 4.242
_cell_length_c 11.994
_cell_angle_alpha 90.00
_cell_angle_beta 104.84
_cell_angle_gamma 90.00
_symmetry_space_group_name_H-M 'P 1'
_symmetry_Int_Tables_number 1
loop_
_symmetry_equiv_pos_as_xyz
'x,y,z'
loop_
_atom_site_label
_atom_site_fract_x
_atom_site_fract_y
_atom_site_fract_z
La1 0.194 0.250 0.130
La2 0.214 0.250 0.506
La3 0.277 0.750 0.813
La4 0.723 0.250 0.187
La5 0.786 0.750 0.494
La6 0.806 0.750 0.870
Te1 0.037 0.750 0.308
Te2 0.963 0.250 0.692
Au1 0.439 0.750 0.074
Au2 0.561 0.250 0.926
Br1 0.493 0.750 0.631
Br2 0.507 0.250 0.369
# SG: P2_1/m
# energy: -4.951 eV per atom


(2)
# La4TeAuBr2 (PBE-GGA, relaxed)
data_La4TeAuBr2
_chemical_formula_sum 'La4 Te1 Au1 Br2'
_cell_length_a 7.466
_cell_length_b 4.382
_cell_length_c 8.063
_cell_angle_alpha 90.00
_cell_angle_beta 109.10
_cell_angle_gamma 90.00
_symmetry_space_group_name_H-M 'P 1'
_symmetry_Int_Tables_number 1
loop_
_symmetry_equiv_pos_as_xyz
'x,y,z'
loop_
_atom_site_label
_atom_site_fract_x
_atom_site_fract_y
_atom_site_fract_z
La1 0.236 0.000 0.228
La2 0.255 0.500 0.763
La3 0.745 0.500 0.237
La4 0.764 0.000 0.772
Te1 0.000 0.000 0.500
Au1 0.000 0.500 0.000
Br1 0.500 0.000 0.000
Br2 0.500 0.500 0.500
# SG: P2/m
# energy: -4.927 eV per atom


(3)
# La4Te2AuBr (PBE-GGA, relaxed)
data_La4Te2AuBr
_chemical_formula_sum 'La4 Te2 Au1 Br1'
_cell_length_a 7.798
_cell_length_b 4.361
_cell_length_c 7.946
_cell_angle_alpha 90.00
_cell_angle_beta 108.48
_cell_angle_gamma 90.00
_symmetry_space_group_name_H-M 'P 1'
_symmetry_Int_Tables_number 1
loop_
_symmetry_equiv_pos_as_xyz
'x,y,z'
loop_
_atom_site_label
_atom_site_fract_x
_atom_site_fract_y
_atom_site_fract_z
La1 0.234 0.000 0.233
La2 0.248 0.500 0.758
La3 0.752 0.500 0.242
La4 0.766 0.000 0.767
Te1 0.000 0.000 0.500
Te2 0.500 0.500 0.500
Au1 0.000 0.500 0.000
Br1 0.500 0.000 0.000
# SG: P2/m
# energy: -5.194 eV per atom


(4)
# LaZnAu2Br (PBE-GGA, relaxed)
data_LaZnAu2Br
_chemical_formula_sum 'La1 Zn1 Au2 Br1'
_cell_length_a 5.621
_cell_length_b 5.621
_cell_length_c 6.417
_cell_angle_alpha 90.00
_cell_angle_beta 90.00
_cell_angle_gamma 90.00
_symmetry_space_group_name_H-M 'P 1'
_symmetry_Int_Tables_number 1
loop_
_symmetry_equiv_pos_as_xyz
'x,y,z'
loop_
_atom_site_label
_atom_site_fract_x
_atom_site_fract_y
_atom_site_fract_z
La1 0.000 0.000 0.000
Zn1 0.000 0.000 0.500
Au1 0.000 0.500 0.000
Au2 0.500 0.000 0.000
Br1 0.500 0.500 0.500
# SG: P4/mmm
# energy: -2.626 eV per atom